A relaxed Zn5Hg3Br12 crystal, computed with PBE.

## Properties
The formation energy without anion corrections comes out at -10.9 eV/f.u. The value obtained for the total magnetic moment is 0.04 μB/cell. The density of states at the Fermi level is 132.89 states/eV/cell.

Structure (CIF):
```
data_Zn5Hg3Br12
_chemical_formula_sum 'Zn40 Hg24 Br96'
_symmetry_space_group_name_H-M 'I a -3 d'
_symmetry_Int_Tables_number 230
_symmetry_space_group_name_Hall '-I 4bd 2c 3'
_cell_length_a 16.845
_cell_length_b 16.845
_cell_length_c 16.845
_cell_angle_alpha 90.00
_cell_angle_beta 90.00
_cell_angle_gamma 90.00
loop_
_atom_site_label
_atom_site_type_symbol
_atom_site_fract_x
_atom_site_fract_y
_atom_site_fract_z
_atom_site_occupancy
Zn1 Zn 0.000 0.000 0.000 1
Zn2 Zn 0.000 0.250 0.375 1
Hg1 Hg 0.000 0.250 0.125 1
Br1 Br 0.035 0.051 0.646 1
```

A relaxed Zn2HgBr crystal, computed with PBE.

## Properties
The formation energy without anion corrections comes out at 0.0 eV/f.u. The value obtained for the total magnetic moment is 0.00 μB/cell. The density of states at the Fermi level is 1.02 states/eV/cell.

Structure (CIF):
```
data_Zn2HgBr
_chemical_formula_sum 'Zn2 Hg1 Br1'
_symmetry_space_group_name_H-M 'P m m 2'
_symmetry_Int_Tables_number 25
_symmetry_space_group_name_Hall 'P 2 -2'
_cell_length_a 3.340
_cell_length_b 3.369
_cell_length_c 8.228
_cell_angle_alpha 90.00
_cell_angle_beta 90.00
_cell_angle_gamma 90.00
loop_
_atom_site_label
_atom_site_type_symbol
_atom_site_fract_x
_atom_site_fract_y
_atom_site_fract_z
_atom_site_occupancy
Zn1 Zn 0.000 0.000 0.000 1
Zn2 Zn 0.500 0.500 0.190 1
Hg1 Hg 0.000 0.000 0.434 1
Br1 Br 0.500 0.500 0.804 1
```